# HfCrO4 GGA+U relaxed
# Energy in eV per atom: -8.739
data_HfCrO4
_chemical_formula_sum 'Hf4 Cr4 O16'
_space_group_name_H-M_alt 'P 1'
_space_group_IT_number 1
_space_group_name_Hall 'P 1'
_cell_length_a 4.7012
_cell_length_b 4.9096
_cell_length_c 11.7285
_cell_angle_alpha 89.46
_cell_angle_beta 89.52
_cell_angle_gamma 89.98
loop_
_atom_site_label
_atom_site_fract_x
_atom_site_fract_y
_atom_site_fract_z
Hf1 0.0000 0.0000 0.0000
Hf2 0.0048 0.5150 0.6611
Hf3 0.5071 0.9857 0.5000
Hf4 0.5202 0.4976 0.1611
Cr1 0.0147 0.4879 0.3995
Cr2 0.0164 0.9932 0.2616
Cr3 0.5010 0.5013 0.8992
Cr4 0.5099 0.0134 0.7618
O1 0.2293 0.3379 0.5163
O2 0.2320 0.8430 0.1446
O3 0.2383 0.8178 0.3855
O4 0.2393 0.3196 0.2743
O5 0.2743 0.3201 0.7771
O6 0.2813 0.8399 0.6421
O7 0.2827 0.8302 0.8857
O8 0.2878 0.3463 0.0165
O9 0.7271 0.1635 0.6443
O10 0.7308 0.6831 0.7761
O11 0.7316 0.6721 0.0191
O12 0.7388 0.1935 0.8833
O13 0.7819 0.1809 0.3836
O14 0.7831 0.6617 0.5197
O15 0.7834 0.6831 0.2783
O16 0.7877 0.1691 0.1411